[1]
# BiIO2 | the Alexandria database | GGA-PBE | relaxed
# Calculated total energy, eV per cell: -53.75
# Energy relative to the lowest polymorph listed for this composition, meV per atom: 0
data_BiIO2
_chemical_formula_sum 'Bi3 I3 O6'
_symmetry_space_group_name_H-M 'R -3 m'
_symmetry_Int_Tables_number 166
_symmetry_space_group_name_Hall '-R 3 2"'
_cell_length_a 3.8340
_cell_length_b 3.8340
_cell_length_c 19.3319
_cell_angle_alpha 90.00
_cell_angle_beta 90.00
_cell_angle_gamma 120.00
loop_
_atom_site_label
_atom_site_fract_x
_atom_site_fract_y
_atom_site_fract_z
Bi1 0.0000 0.0000 0.0000
I1 0.0000 0.0000 0.5000
O1 0.0000 0.0000 0.3851



[2]
# BiIO | the Alexandria database | GGA-PBE | relaxed
# Calculated total energy, eV per cell: -26.60
# Energy relative to the lowest polymorph listed for this composition, meV per atom: 0
data_BiIO
_chemical_formula_sum 'Bi2 I2 O2'
_symmetry_space_group_name_H-M 'P 4/n m m'
_symmetry_Int_Tables_number 129
_cell_length_a 4.028
_cell_length_b 4.028
_cell_length_c 10.170
_cell_angle_alpha 90.00
_cell_angle_beta 90.00
_cell_angle_gamma 90.00
loop_
_symmetry_equiv_pos_as_xyz
'x,y,z'
'-x,-y,-z'
'-y+1/2,x,z'
'y+1/2,-x,-z'
'-x+1/2,-y+1/2,z'
'x+1/2,y+1/2,-z'
'y,-x+1/2,z'
'-y,x+1/2,-z'
'x+1/2,-y,-z'
'-x+1/2,y,z'
'-y,-x,-z'
'y,x,z'
'-x,y+1/2,-z'
'x,-y+1/2,z'
'y+1/2,x+1/2,-z'
'-y+1/2,-x+1/2,z'
loop_
_atom_site_label
_atom_site_fract_x
_atom_site_fract_y
_atom_site_fract_z
Bi1 0.250 0.250 0.122
I1 0.250 0.250 0.694
O1 0.250 0.750 0.000



[3]
# BiIO3 | the Alexandria database | GGA-PBE | relaxed
# Calculated total energy, eV per cell: -46.41
data_BiIO3
_chemical_formula_sum 'Bi2 I2 O6'
_symmetry_space_group_name_H-M 'P 1 21 1'
_symmetry_Int_Tables_number 4
_symmetry_space_group_name_Hall 'P 2yb'
_cell_length_a 4.447
_cell_length_b 6.423
_cell_length_c 6.473
_cell_angle_alpha 90.00
_cell_angle_beta 96.22
_cell_angle_gamma 90.00
loop_
_atom_site_label
_atom_site_fract_x
_atom_site_fract_y
_atom_site_fract_z
Bi1 0.022 0.000 0.242
I1 0.390 0.078 0.702
O1 0.043 0.158 0.847
O2 0.104 0.853 0.563
O3 0.494 0.891 0.194



[4]
# BiI2O2 | the Alexandria database | GGA-PBE | relaxed
# Calculated total energy, eV per cell: -17.56
# Energy relative to the lowest polymorph listed for this composition, meV per atom: 0
data_BiI2O2
_chemical_formula_sum 'Bi1 I2 O2'
_symmetry_space_group_name_H-M 'P 4/m m m'
_symmetry_Int_Tables_number 123
_symmetry_space_group_name_Hall '-P 4 2'
_cell_length_a 4.370
_cell_length_b 4.370
_cell_length_c 7.242
_cell_angle_alpha 90.00
_cell_angle_beta 90.00
_cell_angle_gamma 90.00
loop_
_atom_site_label
_atom_site_fract_x
_atom_site_fract_y
_atom_site_fract_z
Bi1 0.000 0.000 0.000
I1 0.000 0.000 0.500
I2 0.500 0.500 0.500
O1 0.000 0.500 0.000



[5]
# BiOsI2O | the Alexandria database | GGA-PBE | relaxed
# Calculated total energy, eV per cell: -22.56
# Energy relative to the lowest polymorph listed for this composition, meV per atom: 0
data_BiOsI2O
_chemical_formula_sum 'Bi1 Os1 I2 O1'
_symmetry_space_group_name_H-M 'P 4/m m m'
_symmetry_Int_Tables_number 123
_symmetry_space_group_name_Hall '-P 4 2'
_cell_length_a 5.746
_cell_length_b 5.746
_cell_length_c 3.758
_cell_angle_alpha 90.00
_cell_angle_beta 90.00
_cell_angle_gamma 90.00
loop_
_atom_site_label
_atom_site_fract_x
_atom_site_fract_y
_atom_site_fract_z
Bi1 0.000 0.000 0.000
Os1 0.500 0.500 0.500
I1 0.000 0.500 0.500
O1 0.500 0.500 0.000



[6]
# BiOsI2O | the Alexandria database | GGA-PBE | relaxed
# Calculated total energy, eV per cell: -17.76
# Energy relative to the lowest polymorph listed for this composition, meV per atom: 961
data_BiOsI2O
_chemical_formula_sum 'Bi1 Os1 I2 O1'
_symmetry_space_group_name_H-M 'P 4/m m m'
_symmetry_Int_Tables_number 123
_symmetry_space_group_name_Hall '-P 4 2'
_cell_length_a 6.267
_cell_length_b 6.267
_cell_length_c 4.268
_cell_angle_alpha 90.00
_cell_angle_beta 90.00
_cell_angle_gamma 90.00
loop_
_atom_site_label
_atom_site_fract_x
_atom_site_fract_y
_atom_site_fract_z
Bi1 0.000 0.000 0.000
Os1 0.500 0.500 0.500
I1 0.000 0.500 0.000
O1 0.000 0.000 0.500



[7]
# Bi2PbIO8 | the Alexandria database | GGA-PBE | relaxed
# Calculated total energy, eV per cell: -61.94
data_Bi2PbIO8
_chemical_formula_sum 'Bi2 Pb1 I1 O8'
_symmetry_space_group_name_H-M 'P 1 2/m 1'
_symmetry_Int_Tables_number 10
_symmetry_space_group_name_Hall '-P 2y'
_cell_length_a 5.232
_cell_length_b 6.983
_cell_length_c 5.234
_cell_angle_alpha 90.00
_cell_angle_beta 90.18
_cell_angle_gamma 90.00
loop_
_atom_site_label
_atom_site_fract_x
_atom_site_fract_y
_atom_site_fract_z
Bi1 0.000 0.246 0.000
Pb1 0.500 0.500 0.500
I1 0.500 0.000 0.500
O1 0.186 0.500 0.185
O2 0.246 0.000 0.244
O3 0.320 0.204 0.679



[8]
# BiPb2IO4 | the Alexandria database | GGA-PBE | relaxed
# Calculated total energy, eV per cell: -39.70
data_BiPb2IO4
_chemical_formula_sum 'Bi1 Pb2 I1 O4'
_symmetry_space_group_name_H-M 'P 4/m m m'
_symmetry_Int_Tables_number 123
_symmetry_space_group_name_Hall '-P 4 2'
_cell_length_a 4.005
_cell_length_b 4.005
_cell_length_c 9.748
_cell_angle_alpha 90.00
_cell_angle_beta 90.00
_cell_angle_gamma 90.00
loop_
_atom_site_label
_atom_site_fract_x
_atom_site_fract_y
_atom_site_fract_z
Bi1 0.000 0.000 0.000
Pb1 0.500 0.500 0.264
I1 0.000 0.000 0.500
O1 0.000 0.500 0.135